Ca2TlPd: relaxed, PBE-GGA.

Results
For the density, the calculation gives 6.3 g/cm³. The value obtained for the energy above the most stable polymorph in this dataset is 0 meV/atom. The energy of formation from the pure elements is -0.535 eV/atom.

Cell lengths 3.5996, 3.5996, 7.9213 Å; angles 90.00, 90.00, 90.00 degrees
Element x y z (fractional)
Ca: 0.0000 0.0000 0.2164
Ca: 0.0000 0.0000 0.7836
Tl: 0.5000 0.5000 0.5000
Pd: 0.5000 0.5000 0.0000